Record 1
CsRb2InHg: relaxed, PBE.

```
data_CsRb2InHg
_cell_length_a 7.1232
_cell_length_b 7.1232
_cell_length_c 5.7401
_cell_angle_alpha 90.00
_cell_angle_beta 90.00
_cell_angle_gamma 90.00
_space_group_name_H-M_alt 'P 4/m m m'
_space_group_IT_number 123
_space_group_name_Hall '-P 4 2'
loop_
_atom_site_label
_atom_site_fract_x
_atom_site_fract_y
_atom_site_fract_z
Cs1 0.0000 0.0000 0.0000
Rb1 0.0000 0.5000 0.5000
In1 0.5000 0.5000 0.0000
Hg1 0.5000 0.5000 0.5000
```

Results
Its raw total energy is -0.0880 Ry/atom. The magnetization comes out at 0.08 Bohr magnetons per cell.

=====

Record 2
Tl2FePd9: relaxed, PBE.

```
data_Tl2FePd9
_cell_length_a 4.0262
_cell_length_b 4.0262
_cell_length_c 12.0339
_cell_angle_alpha 90.00
_cell_angle_beta 90.00
_cell_angle_gamma 90.00
_space_group_name_H-M_alt 'P 4/m m m'
_space_group_IT_number 123
_space_group_name_Hall '-P 4 2'
loop_
_atom_site_label
_atom_site_fract_x
_atom_site_fract_y
_atom_site_fract_z
Tl1 0.0000 0.0000 0.1719
Fe1 0.0000 0.0000 0.5000
Pd1 0.0000 0.5000 0.0000
Pd2 0.0000 0.5000 0.3478
Pd3 0.5000 0.5000 0.1740
Pd4 0.5000 0.5000 0.5000
```

Results
Its raw total energy is -0.3785 Ry/atom. The magnetization comes out at 4.48 Bohr magnetons per cell.

=====

Record 3
Tb3Ce3HoS8: relaxed, PBE.

```
data_Tb3Ce3HoS8
_cell_length_a 7.9029
_cell_length_b 7.9029
_cell_length_c 19.6529
_cell_angle_alpha 90.00
_cell_angle_beta 90.00
_cell_angle_gamma 120.00
_space_group_name_H-M_alt 'R -3 m'
_space_group_IT_number 166
_space_group_name_Hall '-R 3 2"'
loop_
_atom_site_label
_atom_site_fract_x
_atom_site_fract_y
_atom_site_fract_z
Tb1 0.0000 0.5000 0.0000
Ce1 0.0000 0.5000 0.5000
Ho1 0.0000 0.0000 0.0000
S1 0.0000 0.0000 0.2533
S2 0.0012 0.5006 0.7465
```

Results
Its raw total energy is -0.4905 Ry/atom. The magnetization comes out at 10.02 Bohr magnetons per cell.

=====

Record 4
P2Pt: relaxed, PBE.

```
data_P2Pt
_cell_length_a 7.4260
_cell_length_b 3.7782
_cell_length_c 7.7388
_cell_angle_alpha 90.00
_cell_angle_beta 104.61
_cell_angle_gamma 90.00
_space_group_name_H-M_alt 'C 1 2/m 1'
_space_group_IT_number 12
_space_group_name_Hall '-C 2y'
loop_
_atom_site_label
_atom_site_fract_x
_atom_site_fract_y
_atom_site_fract_z
P1 0.0194 0.0000 0.1432
P2 0.1433 0.5000 0.5526
Pt1 0.2329 0.5000 0.2754
```

Results
Its raw total energy is -0.4343 Ry/atom. The magnetization comes out at 0.00 Bohr magnetons per cell.

=====

Record 5
Ac2Sm2CoAu2: relaxed, PBE.

```
data_Ac2Sm2CoAu2
_cell_length_a 15.0764
_cell_length_b 4.1122
_cell_length_c 7.2222
_cell_angle_alpha 90.00
_cell_angle_beta 112.56
_cell_angle_gamma 90.00
_space_group_name_H-M_alt 'C 1 2/m 1'
_space_group_IT_number 12
_space_group_name_Hall '-C 2y'
loop_
_atom_site_label
_atom_site_fract_x
_atom_site_fract_y
_atom_site_fract_z
Ac1 0.2049 0.0000 0.2162
Sm1 0.0176 0.5000 0.7614
Co1 0.0000 0.0000 0.0000
Au1 0.1175 0.0000 0.5713
```

Results
Its raw total energy is -0.3617 Ry/atom. The magnetization comes out at 0.00 Bohr magnetons per cell.

=====

Record 6
AuS3F2: relaxed, PBE.

```
data_AuS3F2
_cell_length_a 4.1502
_cell_length_b 8.1440
_cell_length_c 10.3791
_cell_angle_alpha 112.71
_cell_angle_beta 100.92
_cell_angle_gamma 91.54
_space_group_name_H-M_alt 'P -1'
_space_group_IT_number 2
_space_group_name_Hall '-P 1'
loop_
_atom_site_label
_atom_site_fract_x
_atom_site_fract_y
_atom_site_fract_z
Au1 0.0245 0.2741 0.0484
S1 0.1117 0.4776 0.7769
S2 0.3308 0.5820 0.6625
S3 0.3345 0.2000 0.2232
F1 0.1412 0.0554 0.8918
F2 0.2483 0.6636 0.1082
```

Results
Its raw total energy is -0.2705 Ry/atom. The magnetization comes out at 0.00 Bohr magnetons per cell.

=====

Record 7
NaAlCdCl6: relaxed, PBE.

```
data_NaAlCdCl6
_cell_length_a 6.5017
_cell_length_b 6.5017
_cell_length_c 6.2120
_cell_angle_alpha 90.00
_cell_angle_beta 90.00
_cell_angle_gamma 120.00
_space_group_name_H-M_alt 'P 3 1 2'
_space_group_IT_number 149
_space_group_name_Hall 'P 3 2'
loop_
_atom_site_label
_atom_site_fract_x
_atom_site_fract_y
_atom_site_fract_z
Na1 0.0000 0.0000 0.0000
Al1 0.6667 0.3333 0.5000
Cd1 0.3333 0.6667 0.5000
Cl1 0.3783 0.0347 0.7222
```

Results
Its raw total energy is -0.2440 Ry/atom. The magnetization comes out at 0.00 Bohr magnetons per cell.

=====

Record 8
HfHS: relaxed, PBE.

```
data_HfHS
_cell_length_a 18.4654
_cell_length_b 3.4087
_cell_length_c 6.4552
_cell_angle_alpha 90.00
_cell_angle_beta 101.73
_cell_angle_gamma 90.00
_space_group_name_H-M_alt 'C 1 2/m 1'
_space_group_IT_number 12
_space_group_name_Hall '-C 2y'
loop_
_atom_site_label
_atom_site_fract_x
_atom_site_fract_y
_atom_site_fract_z
Hf1 0.1696 0.0000 0.0757
Hf2 0.1865 0.0000 0.5764
H1 0.2424 0.5000 0.1206
H2 0.2462 0.0000 0.3548
S1 0.0775 0.0000 0.2767
S2 0.1183 0.5000 0.7826
```

Results
Its raw total energy is -0.4885 Ry/atom. The magnetization comes out at 0.00 Bohr magnetons per cell.

=====

Record 9
PaNb2Sn: relaxed, PBE.

```
data_PaNb2Sn
_cell_length_a 3.4196
_cell_length_b 3.4196
_cell_length_c 25.4546
_cell_angle_alpha 90.00
_cell_angle_beta 90.00
_cell_angle_gamma 120.00
_space_group_name_H-M_alt 'R -3 m'
_space_group_IT_number 166
_space_group_name_Hall '-R 3 2"'
loop_
_atom_site_label
_atom_site_fract_x
_atom_site_fract_y
_atom_site_fract_z
Pa1 0.0000 0.0000 0.0000
Nb1 0.0000 0.0000 0.2523
Sn1 0.0000 0.0000 0.5000
```

Results
Its raw total energy is -0.5986 Ry/atom. The magnetization comes out at 0.00 Bohr magnetons per cell.

=====

Record 10
Ca2BiSb3: relaxed, PBE.

```
data_Ca2BiSb3
_cell_length_a 3.9342
_cell_length_b 6.4387
_cell_length_c 15.2686
_cell_angle_alpha 90.00
_cell_angle_beta 90.00
_cell_angle_gamma 90.00
_space_group_name_H-M_alt 'I m m m'
_space_group_IT_number 71
_space_group_name_Hall '-I 2 2'
loop_
_atom_site_label
_atom_site_fract_x
_atom_site_fract_y
_atom_site_fract_z
Ca1 0.0000 0.0000 0.1695
Bi1 0.0000 0.0000 0.5000
Sb1 0.0000 0.5000 0.1600
Sb2 0.0000 0.5000 0.5000
```

Results
Its raw total energy is -0.2811 Ry/atom. The magnetization comes out at 0.00 Bohr magnetons per cell.

=====

Record 11
LiTm2Hg5: relaxed, PBE.

```
data_LiTm2Hg5
_cell_length_a 5.0159
_cell_length_b 5.0159
_cell_length_c 14.6903
_cell_angle_alpha 90.00
_cell_angle_beta 90.00
_cell_angle_gamma 90.00
_space_group_name_H-M_alt 'I 4/m m m'
_space_group_IT_number 139
_space_group_name_Hall '-I 4 2'
loop_
_atom_site_label
_atom_site_fract_x
_atom_site_fract_y
_atom_site_fract_z
Li1 0.0000 0.0000 0.0000
Tm1 0.0000 0.0000 0.2588
Hg1 0.0000 0.0000 0.5000
Hg2 0.0000 0.5000 0.1215
```

Results
Its raw total energy is -0.1368 Ry/atom. The magnetization comes out at 0.00 Bohr magnetons per cell.

=====

Record 12
ScHgP: relaxed, PBE.

```
data_ScHgP
_cell_length_a 6.5056
_cell_length_b 6.5056
_cell_length_c 6.5056
_cell_angle_alpha 90.00
_cell_angle_beta 90.00
_cell_angle_gamma 90.00
_space_group_name_H-M_alt 'F -4 3 m'
_space_group_IT_number 216
_space_group_name_Hall 'F -4 2 3'
loop_
_atom_site_label
_atom_site_fract_x
_atom_site_fract_y
_atom_site_fract_z
Sc1 0.0000 0.0000 0.0000
Hg1 0.2500 0.2500 0.2500
P1 0.2500 0.2500 0.7500
```

Results
Its raw total energy is -0.3235 Ry/atom. The magnetization comes out at 0.00 Bohr magnetons per cell.

=====

Record 13
Ti5Bi2Mo: relaxed, PBE.

```
data_Ti5Bi2Mo
_cell_length_a 4.9536
_cell_length_b 4.9536
_cell_length_c 12.1211
_cell_angle_alpha 90.00
_cell_angle_beta 90.00
_cell_angle_gamma 90.00
_space_group_name_H-M_alt 'I 4/m m m'
_space_group_IT_number 139
_space_group_name_Hall '-I 4 2'
loop_
_atom_site_label
_atom_site_fract_x
_atom_site_fract_y
_atom_site_fract_z
Ti1 0.0000 0.0000 0.0000
Ti2 0.0000 0.5000 0.1142
Bi1 0.0000 0.0000 0.2497
Mo1 0.0000 0.0000 0.5000
```

Results
Its raw total energy is -0.5407 Ry/atom. The magnetization comes out at 0.00 Bohr magnetons per cell.

=====

Record 14
Ca2TlPPd6: relaxed, PBE.

```
data_Ca2TlPPd6
_cell_length_a 5.7117
_cell_length_b 8.8935
_cell_length_c 8.2517
_cell_angle_alpha 90.00
_cell_angle_beta 90.00
_cell_angle_gamma 90.00
_space_group_name_H-M_alt 'P m m n'
_space_group_IT_number 59
loop_
_space_group_symop_operation_xyz
'x,y,z'
'-x,-y,-z'
'-x+1/2,-y+1/2,z'
'x+1/2,y+1/2,-z'
'x+1/2,-y,-z'
'-x+1/2,y,z'
'-x,y+1/2,-z'
'x,-y+1/2,z'
loop_
_atom_site_label
_atom_site_fract_x
_atom_site_fract_y
_atom_site_fract_z
Ca1 0.2500 0.0142 0.2393
Tl1 0.2500 0.7500 0.8059
P1 0.2500 0.2500 0.7077
Pd1 0.0054 0.7500 0.0829
Pd2 0.0102 0.7500 0.5088
Pd3 0.2500 0.0039 0.6090
```

Results
Its raw total energy is -0.3572 Ry/atom. The magnetization comes out at 0.00 Bohr magnetons per cell.

=====

Record 15
Mn2PtSe: relaxed, PBE.

```
data_Mn2PtSe
_cell_length_a 6.2941
_cell_length_b 6.2941
_cell_length_c 6.2941
_cell_angle_alpha 90.00
_cell_angle_beta 90.00
_cell_angle_gamma 90.00
_space_group_name_H-M_alt 'F -4 3 m'
_space_group_IT_number 216
_space_group_name_Hall 'F -4 2 3'
loop_
_atom_site_label
_atom_site_fract_x
_atom_site_fract_y
_atom_site_fract_z
Mn1 0.0000 0.0000 0.0000
Mn2 0.2500 0.2500 0.2500
Pt1 0.0000 0.0000 0.5000
Se1 0.2500 0.2500 0.7500
```

Results
Its raw total energy is -0.4915 Ry/atom. The magnetization comes out at 28.95 Bohr magnetons per cell.

=====

Record 16
Ca2La2Mg: relaxed, PBE.

```
data_Ca2La2Mg
_cell_length_a 4.3638
_cell_length_b 4.3638
_cell_length_c 20.2902
_cell_angle_alpha 90.00
_cell_angle_beta 90.00
_cell_angle_gamma 90.00
_space_group_name_H-M_alt 'I 4/m m m'
_space_group_IT_number 139
_space_group_name_Hall '-I 4 2'
loop_
_atom_site_label
_atom_site_fract_x
_atom_site_fract_y
_atom_site_fract_z
Ca1 0.0000 0.0000 0.0900
La1 0.0000 0.5000 0.2500
Mg1 0.0000 0.0000 0.5000
```

Results
Its raw total energy is -0.2046 Ry/atom. The magnetization comes out at 0.00 Bohr magnetons per cell.

=====

Record 17
Nd4Cu2Au: relaxed, PBE.

```
data_Nd4Cu2Au
_cell_length_a 5.1039
_cell_length_b 5.1039
_cell_length_c 24.9374
_cell_angle_alpha 90.00
_cell_angle_beta 90.00
_cell_angle_gamma 120.00
_space_group_name_H-M_alt 'R -3 m'
_space_group_IT_number 166
_space_group_name_Hall '-R 3 2"'
loop_
_atom_site_label
_atom_site_fract_x
_atom_site_fract_y
_atom_site_fract_z
Nd1 0.0000 0.0000 0.1216
Nd2 0.0000 0.0000 0.3725
Cu1 0.0000 0.0000 0.2523
Au1 0.0000 0.0000 0.5000
```

Results
Its raw total energy is -0.3358 Ry/atom. The magnetization comes out at 0.00 Bohr magnetons per cell.